--- i ---
This record from Alexandria via LeMat-Bulk describes an optimized crystal structure of NaBiW2O8. The functional is PBE+U.

Cell: 6.9052 6.9052 6.9052 Å, 134.32 134.32 66.58°
Fractional positions:
O1 0.8276 0.4051 0.9015
O2 0.5949 0.4964 0.4225
O3 0.0739 0.1724 0.5775
O4 0.5036 0.9261 0.0985
O5 0.9370 0.8492 0.6091
O6 0.2401 0.3280 0.3909
O7 0.1508 0.7599 0.0879
O8 0.6720 0.0630 0.9121
Na1 0.5000 0.5000 0.0000
W1 0.7500 0.2500 0.5000
W2 0.0000 0.0000 0.0000
Bi1 0.2500 0.7500 0.5000

Values from the calculation:
For the total magnetization, the calculation gives 0.0 μB/f.u.

---

--- ii ---
This record from Alexandria via LeMat-Bulk describes an optimized crystal structure of NaBiW2O8. The functional is PBE+U.

Cell: 6.3205 6.3205 6.3205 Å, 106.48 106.48 115.63°
Fractional positions:
O1 0.3976 0.0913 0.3063
O2 0.3280 0.5138 0.1858
O3 0.7850 0.0913 0.6937
O4 0.3280 0.1422 0.8142
O5 0.9087 0.2150 0.3063
O6 0.9087 0.6024 0.6937
O7 0.4862 0.6720 0.8142
O8 0.8578 0.6720 0.1858
W1 0.5000 0.5000 0.0000
W2 0.7500 0.2500 0.5000
Na1 0.2500 0.7500 0.5000
Bi1 0.0000 0.0000 0.0000

Values from the calculation:
For the total magnetization, the calculation gives 0.0 μB/f.u.

---

How do the energies compare? Relative to the most stable structure, in kJ/mol of atoms: i 0.0; ii 4.6.